Entry 1:
Compound: TaCr3Pd
Source: Alexandria
Functional: GGA-PBE
Structure: optimized geometry

Structure (POSCAR):
```
TaCr3Pd
1.0
4.440 0.000 0.000
0.000 4.440 0.000
0.000 0.000 4.440
Cr Pd Ta
3 1 1
direct
0.000 0.500 0.000 Cr
0.000 0.000 0.500 Cr
0.500 0.000 0.000 Cr
0.000 0.000 0.000 Pd
0.500 0.500 0.500 Ta
```

**ΔE to the lowest computed polymorph**: 0.014 eV/atom
**ΔH_f (0 K)**: 9.23 eV per formula unit

Entry 2:
Compound: ReSi3Pd
Source: Alexandria
Functional: GGA-PBE
Structure: optimized geometry

Structure (POSCAR):
```
ReSi3Pd
1.0
-1.538 0.371 -4.372
-4.387 -0.190 1.527
-0.057 4.630 0.413
Re Si Pd
1 3 1
direct
0.000 0.000 0.000 Re
0.000 0.500 0.000 Si
0.000 0.000 0.500 Si
0.500 0.000 0.000 Si
0.500 0.500 0.500 Pd
```

**ΔE to the lowest computed polymorph**: 0.000 eV/atom
**Raw formation energy**: 0.528 eV/atom

Entry 3:
Compound: ReOsRh2
Source: Alexandria
Functional: GGA-PBE
Structure: optimized geometry

Structure (POSCAR):
```
ReOsRh2
1.0
5.876 0.000 0.000
0.000 5.876 0.000
2.938 2.938 4.832
Re Os Rh
2 2 4
direct
0.500 0.500 0.000 Re
0.250 0.750 0.500 Re
0.000 0.000 0.000 Os
0.750 0.250 0.500 Os
0.625 0.125 0.250 Rh
0.125 0.625 0.250 Rh
0.375 0.375 0.750 Rh
0.875 0.875 0.750 Rh
```

**ΔE to the lowest computed polymorph**: 1.376 eV/atom
**ΔH_f (0 K)**: 5.27 eV per formula unit

Entry 4:
Compound: Li12Ag5Ge2
Source: Alexandria
Functional: GGA-PBE
Structure: optimized geometry

Structure (POSCAR):
```
Li12Ag5Ge2
1.0
-4.911 1.984 7.091
0.397 -7.454 -3.163
2.477 -6.312 3.482
Li Ag Ge
12 5 2
direct
0.876 0.752 0.243 Li
0.052 0.740 0.892 Li
0.688 0.740 0.892 Li
0.076 0.670 0.544 Li
0.593 0.670 0.544 Li
0.557 0.113 0.724 Li
0.443 0.887 0.276 Li
0.924 0.330 0.456 Li
0.407 0.330 0.456 Li
0.948 0.260 0.108 Li
0.312 0.260 0.108 Li
0.124 0.248 0.757 Li
0.355 0.710 0.724 Ag
0.296 0.592 0.164 Ag
0.000 0.000 0.500 Ag
0.704 0.408 0.836 Ag
0.645 0.290 0.276 Ag
0.729 0.000 0.000 Ge
0.271 0.000 0.000 Ge
```

**ΔH_f (0 K)**: -3.70 eV per formula unit

Entry 5:
Compound: KNi2Pt
Source: Alexandria
Functional: GGA-PBE
Structure: optimized geometry

Structure (POSCAR):
```
KNi2Pt
1.0
-5.285 -1.980 3.415
0.167 0.294 -4.864
-0.512 -2.656 -0.176
K Ni Pt
1 2 1
direct
0.500 0.500 0.000 K
0.000 0.000 0.000 Ni
0.500 0.000 0.500 Ni
0.000 0.500 0.500 Pt
```

**ΔE to the lowest computed polymorph**: 0.262 eV/atom
**ΔH_f (0 K)**: 2.30 eV per formula unit

Entry 6:
Compound: NdSmTeSe2
Source: Alexandria
Functional: GGA-PBE
Structure: optimized geometry

Structure (POSCAR):
```
NdSmTeSe2
1.0
-0.823 -4.610 0.363
1.448 -0.607 -4.427
6.442 1.588 4.382
Nd Sm Te Se
1 1 1 2
direct
0.136 0.136 0.273 Nd
0.861 0.861 0.722 Sm
0.501 0.501 0.001 Te
0.751 0.251 0.502 Se
0.251 0.751 0.502 Se
```

**Raw formation energy**: -1.394 eV/atom

Entry 7:
Compound: V4Cr4Re
Source: Alexandria
Functional: GGA-PBE
Structure: optimized geometry

Structure (POSCAR):
```
V4Cr4Re
1.0
-0.498 -2.691 1.083
5.878 -2.116 1.443
-0.789 1.063 6.273
V Cr Re
4 4 1
direct
0.168 0.164 0.000 V
0.832 0.836 0.000 V
0.832 0.500 0.336 V
0.168 0.500 0.664 V
0.500 0.161 0.340 Cr
0.500 0.839 0.660 Cr
0.161 0.840 0.339 Cr
0.839 0.160 0.661 Cr
0.500 0.500 0.000 Re
```

**ΔH_f (0 K)**: -1.32 eV per formula unit

Entry 8:
Compound: AcSmRh
Source: Alexandria
Functional: GGA-PBE
Structure: optimized geometry

Structure (POSCAR):
```
AcSmRh
1.0
-7.246 -0.178 -0.378
0.390 -2.481 -6.305
0.003 -7.354 3.402
Ac Sm Rh
4 4 4
direct
0.416 0.240 0.883 Ac
0.584 0.760 0.117 Ac
0.916 0.260 0.617 Ac
0.084 0.740 0.383 Ac
0.920 0.241 0.117 Sm
0.580 0.741 0.617 Sm
0.080 0.759 0.883 Sm
0.420 0.259 0.383 Sm
0.258 0.504 0.641 Rh
0.742 0.496 0.359 Rh
0.242 0.004 0.141 Rh
0.758 0.996 0.859 Rh
```

**ΔE to the lowest computed polymorph**: 0.004 eV/atom
**ΔH_f (0 K)**: -1.54 eV per formula unit

Entry 9:
Compound: FeIBr2
Source: Alexandria
Functional: GGA-PBE
Structure: optimized geometry

Structure (POSCAR):
```
FeIBr2
1.0
0.000 3.739 3.739
3.739 0.000 3.739
3.739 3.739 0.000
I Fe Br
1 1 2
direct
0.500 0.500 0.500 I
0.000 0.000 0.000 Fe
0.250 0.250 0.250 Br
0.750 0.750 0.750 Br
```

**ΔE to the lowest computed polymorph**: 0.970 eV/atom
**Raw formation energy**: 0.706 eV/atom

Entry 10:
Compound: K2TiNiS4
Source: Alexandria
Functional: GGA-PBE
Structure: optimized geometry

Structure (POSCAR):
```
K2TiNiS4
1.0
5.596 0.000 0.000
2.798 6.568 0.000
2.798 0.000 11.705
K Ti Ni S
4 2 2 8
direct
0.178 0.000 0.643 K
0.822 0.000 0.357 K
0.572 0.500 0.857 K
0.928 0.500 0.143 K
0.750 0.500 0.500 Ti
0.000 0.000 0.000 Ti
0.250 0.500 0.500 Ni
0.500 0.000 0.000 Ni
0.297 0.805 0.105 S
0.207 0.195 0.895 S
0.898 0.805 0.895 S
0.598 0.195 0.105 S
0.453 0.695 0.395 S
0.543 0.305 0.605 S
0.852 0.695 0.605 S
0.152 0.305 0.395 S
```

**Raw formation energy**: -1.072 eV/atom

Entry 11:
Compound: LaHo2V
Source: Alexandria
Functional: GGA-PBE
Structure: optimized geometry

Structure (POSCAR):
```
LaHo2V
1.0
-2.841 1.709 0.729
-2.786 -1.676 0.975
1.471 0.868 11.609
V Ho La
1 2 1
direct
0.000 0.000 0.000 V
0.080 0.080 0.759 Ho
0.920 0.920 0.241 Ho
0.500 0.500 0.500 La
```

**ΔH_f (0 K)**: 2.50 eV per formula unit

Entry 12:
Compound: Nd2GaRh3
Source: Alexandria
Functional: GGA-PBE
Structure: optimized geometry

Structure (POSCAR):
```
Nd2GaRh3
1.0
5.211 -0.060 -0.044
2.151 4.747 -0.044
2.151 1.369 4.545
Nd Ga Rh
2 1 3
direct
0.370 0.370 0.370 Nd
0.630 0.630 0.630 Nd
0.000 0.000 0.000 Ga
0.000 0.000 0.500 Rh
0.500 0.000 0.000 Rh
0.000 0.500 0.000 Rh
```

**ΔH_f (0 K)**: -4.70 eV per formula unit

M_tot (computed, Bohr magnetons per cell): 0.00 0.00 0.00 0.00 0.90 0.00 0.00 0.00 4.67 4.04 3.19 0.00